Computed, not measured: a PBEsol-optimized structure of Mg2ZnCo at the meta-GGA SCAN level of DFT.

Values from the calculation:
V = 15.180 A^3/atom
Magnetic moment = 0.00 μB/f.u.
ΔE_f = 0.038 eV per atom

POSCAR file:
```
Mg2ZnCo
1.0
-1.529 2.198 4.517
1.529 -2.198 4.517
1.529 2.198 -4.517
Mg Zn Co
2 1 1
direct
0.000 0.000 0.000
0.714 0.214 0.500
0.272 0.772 0.500
0.477 0.477 0.000
```

***

Computed, not measured: a PBEsol-optimized structure of MgZn3Co at the meta-GGA SCAN level of DFT.

Values from the calculation:
V = 20.879 A^3/atom
Magnetic moment = 2.45 μB/f.u.
ΔE_f = 1.217 eV per atom

POSCAR file:
```
MgZn3Co
1.0
4.709 0.000 0.000
0.000 4.709 0.000
0.000 0.000 4.709
Mg Zn Co
1 3 1
direct
0.000 0.000 0.000
0.000 0.000 0.500
0.000 0.500 0.000
0.500 0.000 0.000
0.500 0.500 0.500
```

***

Computed, not measured: a PBEsol-optimized structure of Mg2ZnCo at the meta-GGA SCAN level of DFT.

Values from the calculation:
V = 15.825 A^3/atom
Magnetic moment = 0.00 μB/f.u.
ΔE_f = 0.061 eV per atom

POSCAR file:
```
Mg2ZnCo
1.0
3.014 0.000 0.000
0.000 3.014 0.000
0.000 0.000 6.969
Mg Zn Co
2 1 1
direct
0.000 0.000 0.000
0.500 0.500 0.343
0.000 0.000 0.606
0.500 0.500 0.774
```

***

Computed, not measured: a PBEsol-optimized structure of MgZr2Co at the meta-GGA SCAN level of DFT.

Values from the calculation:
V = 18.900 A^3/atom
Magnetic moment = 1.27 μB/f.u.
ΔE_f = -0.107 eV per atom

POSCAR file:
```
MgZr2Co
1.0
2.966 0.000 0.000
0.000 2.966 0.000
0.000 0.000 8.596
Mg Zr Co
1 2 1
direct
0.000 0.000 0.000
0.500 0.500 0.304
0.500 0.500 0.696
0.000 0.000 0.500
```

***

Computed, not measured: a PBEsol-optimized structure of MgZrCo at the meta-GGA SCAN level of DFT.

Values from the calculation:
Energy relative to the lowest polymorph listed for this composition = 0.000 eV per atom
V = 17.442 A^3/atom
Magnetic moment = 1.11 μB/f.u.
ΔE_f = -0.102 eV per atom

POSCAR file:
```
MgZrCo
1.0
-1.556 1.556 5.402
1.556 -1.556 5.402
1.556 1.556 -5.402
Mg Zr Co
1 1 1
direct
0.000 0.000 0.000
0.276 0.276 0.000
0.653 0.653 0.000
```

***

Computed, not measured: a PBEsol-optimized structure of Mg2ZrCo at the meta-GGA SCAN level of DFT.

Values from the calculation:
V = 18.187 A^3/atom
Magnetic moment = 0.00 μB/f.u.
ΔE_f = 0.117 eV per atom

POSCAR file:
```
Mg2ZrCo
1.0
-1.639 2.444 4.542
1.639 -2.444 4.542
1.639 2.444 -4.542
Mg Zr Co
2 1 1
direct
0.000 0.000 0.000
0.712 0.212 0.500
0.296 0.796 0.500
0.489 0.489 0.000
```